Entry 1:
DFT (GGA-PBE) results for Li4TbHg5 after structural relaxation.

Unit cell a=3.4519 b=3.4519 c=16.7912 alpha=90.00 beta=90.00 gamma=90.00
Closest atoms and distances in Å follow each position.
Atoms (fractional coordinates):
1 Li 0.0000 0.0000 0.0931  8 Hg 2.90-2.91, 2 Li 3.13-3.18
2 Li 0.0000 0.0000 0.2822  8 Hg 2.91, 1 Li 3.18
3 Li 0.0000 0.0000 0.7178  8 Hg 2.91, 1 Li 3.18
4 Li 0.0000 0.0000 0.9069  8 Hg 2.90-2.91, 2 Li 3.13-3.18
5 Tb 0.0000 0.0000 0.5000  8 Hg 3.20, 4 Tb 3.45
6 Hg 0.5000 0.5000 0.0000  8 Li 2.90, 2 Hg 3.15
7 Hg 0.5000 0.5000 0.1873  8 Li 2.91, 2 Hg 3.15-3.19
8 Hg 0.5000 0.5000 0.3770  4 Li 2.91, 1 Hg 3.19, 4 Tb 3.20
9 Hg 0.5000 0.5000 0.6230  4 Li 2.91, 1 Hg 3.19, 4 Tb 3.20
10 Hg 0.5000 0.5000 0.8127  8 Li 2.91, 2 Hg 3.15-3.19

## Properties
The size of the total moment comes out at 0.3 μB/f.u. The space group is P4/mmm (123). The value obtained for the energy is -17.59 eV per formula unit.

---

Entry 2:
DFT (GGA-PBE) results for Li5TbHg6 after structural relaxation.

Unit cell a=4.8495 b=6.8931 c=7.6181 alpha=90.00 beta=108.33 gamma=90.00
Closest atoms and distances in Å follow each position.
Atoms (fractional coordinates):
1 Li 0.0000 0.0000 0.0000  8 Hg 2.89-2.97
2 Li 0.3312 0.5000 0.6568  8 Hg 2.91-3.11
3 Li 0.3404 0.0000 0.6787  8 Hg 2.80-2.91
4 Li 0.6596 0.0000 0.3213  8 Hg 2.80-2.91
5 Li 0.6688 0.5000 0.3432  8 Hg 2.91-3.11
6 Tb 0.0000 0.5000 0.0000  8 Hg 3.07-3.10
7 Hg 0.1714 0.2332 0.3454  7 Li 2.90-3.05, 1 Tb 3.10, 1 Hg 3.22
8 Hg 0.1714 0.7668 0.3454  7 Li 2.90-3.05, 1 Tb 3.10, 1 Hg 3.22
9 Hg 0.5000 0.2280 0.0000  6 Li 2.80-3.11, 2 Tb 3.07
10 Hg 0.5000 0.7720 0.0000  6 Li 2.80-3.11, 2 Tb 3.07
11 Hg 0.8286 0.2332 0.6546  7 Li 2.90-3.05, 1 Tb 3.10, 1 Hg 3.22
12 Hg 0.8286 0.7668 0.6546  7 Li 2.90-3.05, 1 Tb 3.10, 1 Hg 3.22

## Properties
The size of the total moment comes out at 0.0 μB/f.u. The space group is P2/m (10). The value obtained for the energy is -20.54 eV per formula unit.

---

Entry 3:
DFT (GGA-PBE) results for LiTb4Hg3 after structural relaxation.

Unit cell a=8.2894 b=8.2894 c=8.2894 alpha=142.86 beta=142.86 gamma=53.54
Closest atoms and distances in Å follow each position.
Atoms (fractional coordinates):
1 Li 0.0000 0.0000 0.0000  8 Tb 3.23
2 Tb 0.1252 0.6252 0.5000  6 Hg 3.19-3.25, 2 Li 3.23
3 Tb 0.3748 0.8748 0.5000  6 Hg 3.19-3.25, 2 Li 3.23
4 Tb 0.6252 0.1252 0.5000  6 Hg 3.19-3.25, 2 Li 3.23
5 Tb 0.8748 0.3748 0.5000  6 Hg 3.19-3.25, 2 Li 3.23
6 Hg 0.2464 0.2464 0.0000  8 Tb 3.19-3.25
7 Hg 0.5000 0.5000 0.0000  8 Tb 3.23
8 Hg 0.7536 0.7536 0.0000  8 Tb 3.19-3.25

## Properties
The size of the total moment comes out at 0.0 μB/f.u. The space group is I4/mmm (139). The value obtained for the energy is -24.21 eV per formula unit.

---

Entry 4:
DFT (GGA-PBE) results for Li4TbHg2 after structural relaxation.

Unit cell a=10.5033 b=10.5033 c=10.5033 alpha=159.72 beta=159.72 gamma=28.84
Closest atoms and distances in Å follow each position.
Atoms (fractional coordinates):
1 Li 0.1489 0.1489 0.0000  4 Li 2.77, 4 Hg 2.79, 1 Tb 3.03
2 Li 0.2500 0.7500 0.5000  8 Li 2.62-2.77
3 Li 0.7500 0.2500 0.5000  8 Li 2.62-2.77
4 Li 0.8511 0.8511 0.0000  4 Li 2.77, 4 Hg 2.79, 1 Tb 3.03
5 Tb 0.0000 0.0000 0.0000  2 Li 3.03, 8 Hg 3.32
6 Hg 0.3993 0.3993 0.0000  4 Li 2.79
7 Hg 0.6007 0.6007 0.0000  4 Li 2.79

## Properties
The size of the total moment comes out at 0.1 μB/f.u. The space group is I4/mmm (139). The value obtained for the energy is -14.01 eV per formula unit.

---

Entry 5:
DFT (GGA-PBE) results for Li3Tb2Hg3 after structural relaxation.

Unit cell a=8.4931 b=8.4931 c=6.4859 alpha=90.00 beta=90.00 gamma=120.00
Closest atoms and distances in Å follow each position.
Atoms (fractional coordinates):
1 Li 0.0000 0.2640 0.2500  3 Hg 2.81-3.10
2 Li 0.0000 0.7360 0.7500  3 Hg 2.81-3.10
3 Li 0.2640 0.0000 0.2500  3 Hg 2.81-3.10
4 Li 0.2640 0.2640 0.7500  3 Hg 2.81-3.10
5 Li 0.7360 0.0000 0.7500  3 Hg 2.81-3.10
6 Li 0.7360 0.7360 0.2500  3 Hg 2.81-3.10
7 Tb 0.3333 0.6667 0.0000  6 Hg 3.14, 2 Tb 3.24
8 Tb 0.3333 0.6667 0.5000  6 Hg 3.14, 2 Tb 3.24
9 Tb 0.6667 0.3333 0.0000  6 Hg 3.14, 2 Tb 3.24
10 Tb 0.6667 0.3333 0.5000  6 Hg 3.14, 2 Tb 3.24
11 Hg 0.0000 0.3713 0.7500  3 Li 2.81-3.10, 4 Tb 3.14
12 Hg 0.0000 0.6287 0.2500  3 Li 2.81-3.10, 4 Tb 3.14
13 Hg 0.3713 0.0000 0.7500  3 Li 2.81-3.10, 4 Tb 3.14
14 Hg 0.3713 0.3713 0.2500  3 Li 2.81-3.10, 4 Tb 3.14
15 Hg 0.6287 0.0000 0.2500  3 Li 2.81-3.10, 4 Tb 3.14
16 Hg 0.6287 0.6287 0.7500  3 Li 2.81-3.10, 4 Tb 3.14

## Properties
The size of the total moment comes out at 0.0 μB/f.u. The space group is P6_3/mcm (193). The value obtained for the energy is -18.12 eV per formula unit.

---

Entry 6:
DFT (GGA-PBE) results for Li2TbHg after structural relaxation.

Unit cell a=4.7349 b=5.6380 c=6.7378 alpha=90.00 beta=90.00 gamma=90.00
Closest atoms and distances in Å follow each position.
Atoms (fractional coordinates):
1 Li 0.2500 0.0068 0.1073  4 Li 2.74-2.90, 3 Hg 2.83-2.91
2 Li 0.2500 0.4932 0.1073  4 Li 2.74-2.90, 3 Hg 2.83-2.91
3 Li 0.7500 0.5068 0.8927  4 Li 2.74-2.90, 3 Hg 2.83-2.91
4 Li 0.7500 0.9932 0.8927  4 Li 2.74-2.90, 3 Hg 2.83-2.91
5 Tb 0.2500 0.2500 0.5676  4 Hg 3.06-3.17, 2 Li 3.39
6 Tb 0.7500 0.7500 0.4324  4 Hg 3.06-3.17, 2 Li 3.39
7 Hg 0.2500 0.7500 0.7458  6 Li 2.83-2.91, 4 Tb 3.06-3.17
8 Hg 0.7500 0.2500 0.2542  6 Li 2.83-2.91, 4 Tb 3.06-3.17

## Properties
For the distance to the lowest polymorph of the same formula, the calculation gives 0 meV per atom. The size of the total moment comes out at 0.0 μB/f.u. The space group is Pmmn (59). The value obtained for the energy is -9.69 eV per formula unit.

---

Entry 7:
DFT (GGA-PBE) results for Li2TbHg7 after structural relaxation.

Unit cell a=5.0004 b=5.0004 c=11.1563 alpha=90.00 beta=90.00 gamma=120.00
Closest atoms and distances in Å follow each position.
Atoms (fractional coordinates):
1 Li 0.0000 0.0000 0.0000  2 Hg 2.63-2.64
2 Li 0.3333 0.6667 0.5844  6 Hg 2.96-3.02
3 Tb 0.6667 0.3333 0.3629  11 Hg 3.08-3.29
4 Hg 0.0000 0.0000 0.2370  1 Li 2.64, 3 Hg 2.91
5 Hg 0.0000 0.0000 0.5039  2 Hg 2.91-2.98, 3 Li 3.02
6 Hg 0.0000 0.0000 0.7644  1 Li 2.63, 1 Hg 2.91
7 Hg 0.3333 0.6667 0.2661  3 Hg 2.91, 3 Tb 3.08
8 Hg 0.3333 0.6667 0.9039  3 Li 3.08, 6 Hg 3.28-3.43
9 Hg 0.6667 0.3333 0.0691  3 Li 2.99, 1 Tb 3.28
10 Hg 0.6667 0.3333 0.6421  3 Li 2.96, 1 Tb 3.12, 6 Hg 3.19-3.27

## Properties
The size of the total moment comes out at 0.0 μB/f.u. The space group is P3m1 (156). The value obtained for the energy is -12.80 eV per formula unit.

---

Entry 8:
DFT (GGA-PBE) results for LiTbTlHg after structural relaxation.

Unit cell a=5.1037 b=5.1037 c=5.1037 alpha=60.00 beta=60.00 gamma=60.00
Closest atoms and distances in Å follow each position.
Atoms (fractional coordinates):
1 Li 0.0000 0.0000 0.0000  4 Tl 3.13, 4 Hg 3.13
2 Tb 0.5000 0.5000 0.5000  4 Tl 3.13, 4 Hg 3.13
3 Tl 0.7500 0.7500 0.7500  4 Li 3.13, 4 Tb 3.13
4 Hg 0.2500 0.2500 0.2500  4 Tb 3.13, 4 Li 3.13

## Properties
The size of the total moment comes out at 0.0 μB/f.u. The space group is F-43m (216). The value obtained for the energy is -10.77 eV per formula unit.

---

Going through the records in order, we get energy of formation from the pure elements values of -379, -378, -359, -161, -277, -232, -223, -390 meV/atom.